Record 1
Computed, not measured: crystalline KLiFe2I8 at its relaxed geometry at the GGA-PBE level of DFT.

Cell lengths 8.2901, 8.2901, 9.5477 Å; angles 90.00, 90.00, 120.00 degrees
Site moments in Bohr magnetons follow the coordinates.
Fractional positions:
I 0.1642 0.3284 0.7983  0.17
Li 0.0000 0.0000 0.0000  0.02
I 0.3333 0.6667 0.4466  0.23
I 0.3284 0.1642 0.2017  0.17
I 0.6667 0.3333 0.5534  0.23
I 0.8358 0.6716 0.2017  0.17
I 0.1642 0.8358 0.7983  0.17
Fe 0.6667 0.3333 0.2903  3.53
K 0.0000 0.0000 0.5000  0.00
Fe 0.3333 0.6667 0.7097  3.53
I 0.8358 0.1642 0.2017  0.17
I 0.6716 0.8358 0.7983  0.17

Computed properties:
Formation energy from raw total energies, eV per atom: -0.519
Spin magnetization, Bohr magnetons per cell: 9.9

---

Record 2
Computed, not measured: crystalline KLiFeI4 at its relaxed geometry at the GGA-PBE level of DFT.

Cell lengths 6.9385, 8.2890, 9.7654 Å; angles 90.00, 103.29, 90.00 degrees
Site moments in Bohr magnetons follow the coordinates.
Fractional positions:
I 0.9680 0.9926 0.2887  0.07
K 0.7875 0.7500 0.9384  0.00
I 0.6516 0.2500 0.9248  0.08
Fe 0.2239 0.7500 0.3070  3.27
I 0.9680 0.5074 0.2887  0.07
Li 0.8690 0.7500 0.4914  0.00
I 0.5109 0.2500 0.4577  0.08
I 0.0320 0.0074 0.7113  0.07
I 0.4891 0.7500 0.5423  0.08
I 0.3484 0.7500 0.0752  0.08
I 0.0320 0.4926 0.7113  0.07
Li 0.1310 0.2500 0.5086  0.00
Fe 0.7761 0.2500 0.6930  3.27
K 0.2125 0.2500 0.0616  0.00

Computed properties:
Formation energy from raw total energies, eV per atom: -0.765
Spin magnetization, Bohr magnetons per cell: 8.0

---

Record 3
Computed, not measured: crystalline KLiFe2I6 at its relaxed geometry at the GGA-PBE level of DFT.

Cell lengths 8.1850, 10.6335, 10.6335 Å; angles 89.34, 76.00, 76.00 degrees
Site moments in Bohr magnetons follow the coordinates.
Fractional positions:
I 0.1877 0.9600 0.7968  0.07
Fe 0.7047 0.2321 0.3820  3.31
I 0.0722 0.6075 0.1493  0.08
Fe 0.2953 0.7679 0.6180  3.31
I 0.8123 0.0400 0.2032  0.07
I 0.4765 0.4192 0.3087  0.13
Fe 0.2047 0.3820 0.2321  3.31
I 0.3123 0.2032 0.0400  0.07
I 0.9278 0.3925 0.8507  0.08
K 0.2500 0.8805 0.1195  0.00
I 0.0235 0.6913 0.5808  0.13
Li 0.2500 0.2173 0.7827  0.01
I 0.5722 0.1493 0.6075  0.08
I 0.4278 0.8507 0.3925  0.08
I 0.9765 0.3087 0.4192  0.13
Fe 0.7953 0.6180 0.7679  3.31
Li 0.7500 0.7827 0.2173  0.01
K 0.7500 0.1195 0.8805  0.00
I 0.5235 0.5808 0.6913  0.13
I 0.6877 0.7968 0.9600  0.07

Computed properties:
Formation energy from raw total energies, eV per atom: -0.555
Spin magnetization, Bohr magnetons per cell: 16.0

---

Record 4
Computed, not measured: crystalline K2MgFeI at its relaxed geometry at the GGA-PBE level of DFT.

Cell lengths 6.5645, 4.9097, 6.5645 Å; angles 90.00, 90.00, 90.00 degrees
Site moments in Bohr magnetons follow the coordinates.
Fractional positions:
Fe 0.0000 0.0000 0.0000  2.27
Mg 0.5000 0.5000 0.5000  -0.01
I 0.0000 0.5000 0.0000  0.02
K 0.0000 0.0000 0.5000  -0.01
K 0.5000 0.0000 0.0000  -0.01

Computed properties:
Formation energy from raw total energies, eV per atom: 0.412
Spin magnetization, Bohr magnetons per cell: 2.0

---

Record 5
Computed, not measured: crystalline KMgFe2I8 at its relaxed geometry at the GGA-PBE level of DFT.

Cell lengths 7.2930, 7.2930, 11.4085 Å; angles 71.36, 71.36, 60.00 degrees
Site moments in Bohr magnetons follow the coordinates.
Fractional positions:
K 0.5000 0.5000 0.5000  0.00
I 0.2754 0.9394 0.1646  0.12
I 0.1736 0.1736 0.4791  0.16
I 0.7246 0.0606 0.8354  0.12
Fe 0.7461 0.7461 0.7618  3.42
I 0.9394 0.6205 0.1646  0.12
Fe 0.2539 0.2539 0.2382  3.42
Mg 0.0000 0.0000 0.0000  0.01
I 0.3795 0.7246 0.8354  0.12
I 0.0606 0.3795 0.8354  0.12
I 0.6205 0.2754 0.1646  0.12
I 0.8264 0.8264 0.5209  0.16

Computed properties:
Formation energy from raw total energies, eV per atom: -0.549
Spin magnetization, Bohr magnetons per cell: 9.0

---

Record 6
Computed, not measured: crystalline KMnFe2I8 at its relaxed geometry at the GGA-PBE level of DFT.

Cell lengths 7.2942, 7.2942, 10.2610 Å; angles 85.83, 85.83, 69.02 degrees
Site moments in Bohr magnetons follow the coordinates.
Fractional positions:
Fe 0.3772 0.3772 0.7853  3.44
I 0.7588 0.7588 0.0055  0.17
I 0.2412 0.2412 0.9945  0.17
I 0.7021 0.7021 0.4361  0.17
I 0.7641 0.2584 0.7918  0.14
Mn 0.0000 0.0000 0.0000  4.38
I 0.2359 0.7416 0.2082  0.14
I 0.2979 0.2979 0.5639  0.17
I 0.7416 0.2359 0.2082  0.14
I 0.2584 0.7641 0.7918  0.14
K 0.0000 0.0000 0.5000  0.00
Fe 0.6228 0.6228 0.2147  3.44

Computed properties:
Formation energy from raw total energies, eV per atom: -0.399
Spin magnetization, Bohr magnetons per cell: 14.0

---

Record 7
Computed, not measured: crystalline KNaFe2I6 at its relaxed geometry at the GGA-PBE level of DFT.

Cell lengths 10.2490, 10.2490, 8.1896 Å; angles 102.74, 102.74, 83.39 degrees
Site moments in Bohr magnetons follow the coordinates.
Fractional positions:
K 0.8157 0.1843 0.7500  0.00
I 0.5941 0.1151 0.3487  0.10
I 0.8216 0.9037 0.9925  0.11
Fe 0.2966 0.1204 0.7558  3.31
Fe 0.7034 0.8796 0.2442  3.31
I 0.9037 0.8216 0.4925  0.11
K 0.1843 0.8157 0.2500  0.00
I 0.1151 0.5941 0.8487  0.10
I 0.0963 0.1784 0.5075  0.11
I 0.7015 0.5258 0.6492  0.08
I 0.1784 0.0963 0.0075  0.11
I 0.2985 0.4742 0.3508  0.08
Fe 0.8796 0.7034 0.7442  3.31
I 0.4059 0.8849 0.6513  0.10
I 0.4742 0.2985 0.8508  0.08
Na 0.4028 0.5972 0.7500  0.00
Fe 0.1204 0.2966 0.2558  3.31
I 0.8849 0.4059 0.1513  0.10
I 0.5258 0.7015 0.1492  0.08
Na 0.5972 0.4028 0.2500  0.00

Computed properties:
Formation energy from raw total energies, eV per atom: -0.585
Spin magnetization, Bohr magnetons per cell: 16.0

---

Record 8
Computed, not measured: crystalline KNpFe2I8 at its relaxed geometry at the GGA-PBE level of DFT.

Cell lengths 7.4939, 7.4939, 10.4437 Å; angles 86.95, 86.95, 69.44 degrees
Site moments in Bohr magnetons follow the coordinates.
Fractional positions:
I 0.2853 0.2853 0.5627  0.11
Fe 0.6306 0.6306 0.2209  3.27
I 0.2506 0.2506 0.9965  0.09
I 0.2499 0.7415 0.2159  0.08
I 0.7494 0.7494 0.0035  0.09
I 0.7501 0.2585 0.7841  0.08
K 0.0000 0.0000 0.5000  0.00
I 0.7147 0.7147 0.4373  0.11
I 0.7415 0.2499 0.2159  0.08
Fe 0.3694 0.3694 0.7791  3.27
Np 0.0000 0.0000 0.0000  -3.98
I 0.2585 0.7501 0.7841  0.08

Computed properties:
Formation energy from raw total energies, eV per atom: -0.542
Spin magnetization, Bohr magnetons per cell: 4.0